[1]
DFT (GGA-PBEsol) results for a geometry-optimized Be2InNi structure.

```
Be2InNi
1.0
-1.943 1.669 2.508
2.178 -1.285 2.542
2.015 2.779 -2.850
Be In Ni
2 1 1
direct
0.000 0.000 0.000
0.750 0.250 0.500
0.500 0.500 0.000
0.250 0.750 0.500
```

The calculation puts the total magnetization at 0.0 Bohr magnetons per cell. The value obtained for the formation enthalpy at 0 K is 78 meV/atom.

***

[2]
DFT (GGA-PBEsol) results for a geometry-optimized NbP2CSe structure.

```
NbP2CSe
1.0
3.986 0.000 0.000
0.000 3.986 0.000
0.000 0.000 4.524
Se C P Nb
1 1 2 1
direct
0.500 0.500 0.500
0.000 0.000 0.000
0.500 0.000 0.000
0.000 0.500 0.000
0.000 0.000 0.500
```

The calculation puts the formation energy without anion corrections at 0.760 eV per atom. The calculation puts the total magnetization at 0.0 Bohr magnetons per cell.

***

[3]
DFT (GGA-PBEsol) results for a geometry-optimized ZrTlZn3 structure.

```
ZrTlZn3
1.0
-4.187 2.395 -0.504
-0.866 -0.516 4.744
2.289 4.186 0.874
Zr Zn Tl
1 3 1
direct
0.500 0.500 0.500
0.000 0.000 0.500
0.000 0.500 0.000
0.500 0.000 0.000
0.000 0.000 0.000
```

The calculation puts the total magnetization at 0.0 Bohr magnetons per cell. The value obtained for the formation enthalpy at 0 K is 930 meV/atom.

***

[4]
DFT (GGA-PBEsol) results for a geometry-optimized ReAsIrSe2 structure.

```
ReAsIrSe2
1.0
4.699 0.000 0.000
0.000 4.699 0.000
0.000 0.000 4.720
As Se Ir Re
1 2 1 1
direct
0.000 0.000 0.500
0.500 0.000 0.000
0.000 0.500 0.000
0.500 0.500 0.500
0.000 0.000 0.000
```

The calculation puts the formation energy without anion corrections at 1.319 eV per atom. The calculation puts the total magnetization at 0.0 Bohr magnetons per cell.

***

What did the first record say?
DFT (GGA-PBEsol) results for a geometry-optimized Be2InNi structure.

```
Be2InNi
1.0
-1.943 1.669 2.508
2.178 -1.285 2.542
2.015 2.779 -2.850
Be In Ni
2 1 1
direct
0.000 0.000 0.000
0.750 0.250 0.500
0.500 0.500 0.000
0.250 0.750 0.500
```

The calculation puts the total magnetization at 0.0 Bohr magnetons per cell. The value obtained for the formation enthalpy at 0 K is 78 meV/atom.